# 1
Here is a relaxed structure of HoPuPb from Alexandria. Energies are from PBE-GGA.

```
HoPuPb
1.0
-2.034 2.034 5.154
2.034 -2.034 5.154
2.034 2.034 -5.154
Ho Pu Pb
1 1 1
direct
0.000 0.000 0.000
0.687 0.687 0.000
0.352 0.352 0.000
```

Results
The value obtained for the magnetization is 7.0 μB/cell. The uncorrected energy is -22.90 eV/cell. The calculation puts the energy of formation from the pure elements at -0.093 eV per atom. The energy above the most stable polymorph in this dataset is 202 meV per atom. Its space group is No. 107.



# 2
Here is a relaxed structure of Pr2GdSi from Alexandria. Energies are from PBE-GGA.

```
Pr2GdSi
1.0
1.885 1.088 10.935
-1.885 1.088 10.935
0.000 -2.177 10.935
Pr Gd Si
2 1 1
direct
0.107 0.107 0.107
0.893 0.893 0.893
0.000 0.000 0.000
0.500 0.500 0.500
```

Results
The value obtained for the magnetization is 7.9 μB/cell. The uncorrected energy is -28.86 eV/cell. The calculation puts the uncorrected formation energy at 51 meV/atom. The energy above the most stable polymorph in this dataset is 303 meV per atom. Its space group is No. 166.



> Number 2 is which compound?

Pr2GdSi